Record 1
Material: RuRh2Au
Method: DFT, PBE
State: relaxed

Its total moment is 0.01 Bohr magnetons per cell. The value obtained for the total DFT energy (no corrections) is -26.093 eV/cell. The value obtained for the energy above the lowest structure with this stoichiometry is 83 kJ/mol of formula units. The formation energy is 291 meV per atom.

The structure belongs to space group P4/mmm (No. 123); the cell edges are 3.9199, 3.9199 and 3.9055 Å and the angles 90.00°, 90.00° and 90.00°. The distinct sites, in fractional coordinates, are Ru at (0.0000, 0.0000, 0.0000), Rh at (0.0000, 0.5000, 0.5000) and Au at (0.5000, 0.5000, 0.0000).

---

Record 2
Material: BaCdOs2F
Method: DFT, PBE
State: relaxed

Its total moment is 7.00 Bohr magnetons per cell. The value obtained for the total DFT energy (no corrections) is -15.174 eV/cell. The raw formation energy is 12.0 eV/f.u.

The structure belongs to space group P4/mmm (No. 123); the cell edges are 6.0589, 6.0589 and 6.9566 Å and the angles 90.00°, 90.00° and 90.00°. The distinct sites, in fractional coordinates, are Ba at (0.0000, 0.0000, 0.0000), Cd at (0.0000, 0.0000, 0.5000), Os at (0.0000, 0.5000, 0.0000) and F at (0.5000, 0.5000, 0.5000).

---

Record 3
Material: Pr2SmDySe4
Method: DFT, PBE
State: relaxed

Its total moment is 0.00 Bohr magnetons per cell. The value obtained for the total DFT energy (no corrections) is -47.334 eV/cell. The raw formation energy is -14.5 eV/f.u.

The structure belongs to space group P2/m (No. 10); the cell edges are 7.2305, 4.1298 and 7.3857 Å and the angles 90.00°, 108.69° and 90.00°. The distinct sites, in fractional coordinates, are Pr at (0.0000, 0.0000, 0.0000), Pr at (0.5000, 0.5000, 0.0000), Sm at (0.0000, 0.5000, 0.5000), Dy at (0.5000, 0.0000, 0.5000), Se at (0.2504, 0.0000, 0.7384) and Se at (0.2593, 0.5000, 0.2647).

---

Record 4
Material: HfTi4In3
Method: DFT, PBE
State: relaxed

Its total moment is 0.00 Bohr magnetons per cell. The value obtained for the total DFT energy (no corrections) is -50.741 eV/cell. The value obtained for the energy above the lowest structure with this stoichiometry is 0 kJ/mol of formula units. The formation energy is -124 meV per atom.

The structure belongs to space group P4/mmm (No. 123); the cell edges are 4.2143, 4.2143 and 8.7164 Å and the angles 90.00°, 90.00° and 90.00°. The distinct sites, in fractional coordinates, are Hf at (0.0000, 0.0000, 0.0000), Ti at (0.0000, 0.5000, 0.2477), In at (0.0000, 0.0000, 0.5000), In at (0.5000, 0.5000, 0.0000) and In at (0.5000, 0.5000, 0.5000).

---

Record 5
Material: SrTaTe2I
Method: DFT, PBE
State: relaxed

Its total moment is 2.24 Bohr magnetons per cell. The value obtained for the total DFT energy (no corrections) is -16.527 eV/cell. The value obtained for the energy above the lowest structure with this stoichiometry is 641 kJ/mol of formula units. The raw formation energy is 4.8 eV/f.u.

The structure belongs to space group P4/mmm (No. 123); the cell edges are 6.1370, 6.1370 and 5.9749 Å and the angles 90.00°, 90.00° and 90.00°. The distinct sites, in fractional coordinates, are Sr at (0.0000, 0.0000, 0.0000), Ta at (0.5000, 0.5000, 0.5000), Te at (0.0000, 0.5000, 0.0000) and I at (0.0000, 0.0000, 0.5000).

---

Record 6
Material: KCaPb2
Method: DFT, PBE
State: relaxed

Its total moment is 0.00 Bohr magnetons per cell. The value obtained for the total DFT energy (no corrections) is -22.489 eV/cell. The formation energy is -182 meV per atom.

The structure belongs to space group I-4m2 (No. 119); the cell edges are 5.1283, 5.1283 and 10.2125 Å and the angles 90.00°, 90.00° and 90.00°. The distinct sites, in fractional coordinates, are K at (0.0000, 0.0000, 0.0000), Ca at (0.0000, 0.5000, 0.2500), Pb at (0.0000, 0.0000, 0.5000) and Pb at (0.0000, 0.5000, 0.7500).

---

Record 7
Material: SrAcAlPb
Method: DFT, PBE
State: relaxed

Its total moment is 0.00 Bohr magnetons per cell. The value obtained for the total DFT energy (no corrections) is -57.773 eV/cell. The formation energy is -301 meV per atom.

The structure belongs to space group F-43m (No. 216); the cell edges are 8.1162, 8.1162 and 8.1162 Å and the angles 90.00°, 90.00° and 90.00°. The distinct sites, in fractional coordinates, are Sr at (0.0000, 0.0000, 0.0000), Ac at (0.0000, 0.0000, 0.5000), Al at (0.2500, 0.2500, 0.2500) and Pb at (0.2500, 0.2500, 0.7500).

---

Record 8
Material: SmSi3Ru
Method: DFT, PBE
State: relaxed

Its total moment is 0.00 Bohr magnetons per cell. The value obtained for the total DFT energy (no corrections) is -133.639 eV/cell. The raw formation energy is -3.1 eV/f.u.

The structure belongs to space group Cmcm (No. 63); the cell edges are 5.8077, 9.9922 and 5.9635 Å and the angles 90.00°, 90.00° and 90.00°. The distinct sites, in fractional coordinates, are Sm at (0.0000, 0.2441, 0.2500), Si at (0.0000, 0.3528, 0.7500), Si at (0.2487, 0.5000, 0.0000) and Ru at (0.0000, 0.1179, 0.7500).

---

Record 9
Material: CaThRuRh
Method: DFT, PBE
State: relaxed

Its total moment is 0.00 Bohr magnetons per cell. The value obtained for the total DFT energy (no corrections) is -110.557 eV/cell. The formation energy is -398 meV per atom.

The structure belongs to space group F-43m (No. 216); the cell edges are 6.9456, 6.9456 and 6.9456 Å and the angles 90.00°, 90.00° and 90.00°. The distinct sites, in fractional coordinates, are Ca at (0.0000, 0.0000, 0.0000), Th at (0.0000, 0.0000, 0.5000), Ru at (0.2500, 0.2500, 0.7500) and Rh at (0.2500, 0.2500, 0.2500).

---

Record 10
Material: Sr2PaOsO8
Method: DFT, PBE
State: relaxed

Its total moment is 0.60 Bohr magnetons per cell. The value obtained for the total DFT energy (no corrections) is -92.373 eV/cell. The raw formation energy is -28.6 eV/f.u.

The structure belongs to space group P2/m (No. 10); the cell edges are 5.3117, 6.8619 and 5.3143 Å and the angles 90.00°, 91.56° and 90.00°. The distinct sites, in fractional coordinates, are Sr at (0.0000, 0.2433, 0.0000), Pa at (0.5000, 0.5000, 0.5000), Os at (0.5000, 0.0000, 0.5000), O at (0.2264, 0.5000, 0.2280), O at (0.2540, 0.0000, 0.2562) and O at (0.3312, 0.2186, 0.6701).

---

Record 11
Material: CaLaIr4
Method: DFT, PBE
State: relaxed

Its total moment is 0.00 Bohr magnetons per cell. The value obtained for the total DFT energy (no corrections) is -183.774 eV/cell. The formation energy is -595 meV per atom.

The structure belongs to space group F-43m (No. 216); the cell edges are 7.6756, 7.6756 and 7.6756 Å and the angles 90.00°, 90.00° and 90.00°. The distinct sites, in fractional coordinates, are Ca at (0.0000, 0.0000, 0.0000), La at (0.2500, 0.2500, 0.2500) and Ir at (0.1253, 0.1253, 0.6253).

---

Record 12
Material: BaHfRuO6
Method: DFT, PBE
State: relaxed

Its total moment is 2.00 Bohr magnetons per cell. The value obtained for the total DFT energy (no corrections) is -70.438 eV/cell. The raw formation energy is -19.5 eV/f.u.

The structure belongs to space group P312 (No. 149); the cell edges are 5.3977, 5.3977 and 5.7701 Å and the angles 90.00°, 90.00° and 120.00°. The distinct sites, in fractional coordinates, are Ba at (0.0000, 0.0000, 0.0000), Hf at (0.3333, 0.6667, 0.5000), Ru at (0.6667, 0.3333, 0.5000) and O at (0.3950, 0.0183, 0.6939).

---

Record 13
Material: SrRu
Method: DFT, PBE
State: relaxed

Its total moment is 0.02 Bohr magnetons per cell. The value obtained for the total DFT energy (no corrections) is -81.106 eV/cell. The formation energy is 410 meV per atom.

The structure belongs to space group Pnma (No. 62); the cell edges are 6.4518, 7.1025 and 9.4252 Å and the angles 90.00°, 90.00° and 90.00°. The distinct sites, in fractional coordinates, are Sr at (0.0144, 0.2500, 0.2189), Sr at (0.1677, 0.2500, 0.8492) and Ru at (0.1522, 0.0846, 0.5303).

---

Record 14
Material: YTi2InN
Method: DFT, PBE
State: relaxed

Its total moment is 1.05 Bohr magnetons per cell. The value obtained for the total DFT energy (no corrections) is -37.327 eV/cell. The value obtained for the energy above the lowest structure with this stoichiometry is 0 kJ/mol of formula units. The raw formation energy is -4.0 eV/f.u.

The structure belongs to space group P4/mmm (No. 123); the cell edges are 4.2714, 4.2714 and 4.7721 Å and the angles 90.00°, 90.00° and 90.00°. The distinct sites, in fractional coordinates, are Y at (0.0000, 0.0000, 0.0000), Ti at (0.0000, 0.5000, 0.5000), In at (0.5000, 0.5000, 0.0000) and N at (0.0000, 0.0000, 0.5000).

---

Record 15
Material: Y2TeAs
Method: DFT, PBE
State: relaxed

Its total moment is 0.00 Bohr magnetons per cell. The value obtained for the total DFT energy (no corrections) is -50.426 eV/cell. The value obtained for the energy above the lowest structure with this stoichiometry is 151 kJ/mol of formula units. The raw formation energy is -4.5 eV/f.u.

The structure belongs to space group Cmmm (No. 65); the cell edges are 4.7968, 5.6304 and 7.5734 Å and the angles 90.00°, 90.00° and 90.00°. The distinct sites, in fractional coordinates, are Y at (0.0000, 0.0000, 0.2300), Te at (0.0000, 0.5000, 0.5000) and As at (0.0000, 0.5000, 0.0000).

---

Record 16
Material: MgFe2Co
Method: DFT, PBE
State: relaxed

Its total moment is 13.45 Bohr magnetons per cell. The value obtained for the total DFT energy (no corrections) is -49.628 eV/cell. The formation energy is 203 meV per atom.

The structure belongs to space group Cmmm (No. 65); the cell edges are 3.1194, 4.1572 and 8.1056 Å and the angles 90.00°, 90.00° and 90.00°. The distinct sites, in fractional coordinates, are Mg at (0.0000, 0.0000, 0.0000), Fe at (0.0000, 0.5000, 0.2729) and Co at (0.0000, 0.0000, 0.5000).

---

Record 17
Material: Ca2PrAu
Method: DFT, PBE
State: relaxed

Its total moment is 0.07 Bohr magnetons per cell. The value obtained for the total DFT energy (no corrections) is -54.548 eV/cell. The value obtained for the energy above the lowest structure with this stoichiometry is 5 kJ/mol of formula units. The formation energy is -394 meV per atom.

The structure belongs to space group Cmcm (No. 63); the cell edges are 3.9311, 12.8768 and 10.3117 Å and the angles 90.00°, 90.00° and 90.00°. The distinct sites, in fractional coordinates, are Ca at (0.0000, 0.1384, 0.0650), Pr at (0.0000, 0.4267, 0.2500) and Au at (0.0000, 0.2514, 0.7500).

---

Record 18
Material: DyHoHg2
Method: DFT, PBE
State: relaxed

Its total moment is 0.00 Bohr magnetons per cell. The value obtained for the total DFT energy (no corrections) is -11.708 eV/cell. The formation energy is -481 meV per atom.

The structure belongs to space group P4/mmm (No. 123); the cell edges are 5.2310, 5.2310 and 3.7456 Å and the angles 90.00°, 90.00° and 90.00°. The distinct sites, in fractional coordinates, are Dy at (0.0000, 0.0000, 0.0000), Ho at (0.5000, 0.5000, 0.0000) and Hg at (0.0000, 0.5000, 0.5000).

---

Record 19
Material: Li2Al2Cu7
Method: DFT, PBE
State: relaxed

Its total moment is 0.00 Bohr magnetons per cell. The value obtained for the total DFT energy (no corrections) is -81.485 eV/cell. The formation energy is -69 meV per atom.

The structure belongs to space group C2/m (No. 12); the cell edges are 8.5223, 8.5862 and 4.4124 Å and the angles 90.00°, 115.89° and 90.00°. The distinct sites, in fractional coordinates, are Li at (0.2475, 0.0000, 0.0677), Al at (0.0000, 0.2341, 0.0000), Cu at (0.0000, 0.0000, 0.5000), Cu at (0.0941, 0.5000, 0.3175) and Cu at (0.1691, 0.2382, 0.6649).

---

Record 20
Material: Y2Si3PdPt12
Method: DFT, PBE
State: relaxed

Its total moment is 0.00 Bohr magnetons per cell. The value obtained for the total DFT energy (no corrections) is -343.578 eV/cell. The raw formation energy is -7.6 eV/f.u.

The structure belongs to space group R-3m (No. 166, hexagonal axes); the cell edges are 8.2605, 8.2605 and 17.6593 Å and the angles 90.00°, 90.00° and 120.00°. The distinct sites, in fractional coordinates, are Y at (0.0000, 0.0000, 0.1075), Si at (0.0000, 0.5000, 0.0000), Pd at (0.0000, 0.0000, 0.5000), Pt at (0.0151, 0.5075, 0.8689) and Pt at (0.0269, 0.5134, 0.3695).